1.
! TbPmCo2 (GGA-PBE, optimized geometry); values from VASP
! ΔH_f (0 K)	-19	kJ/mol of formula units
! crystal system	cubic
! offset from the most stable computed form	86	meV/atom
&SYSTEM
  ibrav = 0, nat = 4, ntyp = 3
/
ATOMIC_SPECIES
Tb 158.93 Tb.upf
Pm 145.00 Pm.upf
Co 58.93 Co.upf
CELL_PARAMETERS angstrom
0.000 3.396 3.396
3.396 0.000 3.396
3.396 3.396 0.000
ATOMIC_POSITIONS angstrom
Tb 0.000 0.000 0.000
Pm 3.396 3.396 3.396
Co 1.698 1.698 1.698
Co 5.095 5.095 5.095

2.
! Tb2PmCo (GGA-PBE, optimized geometry); values from VASP
! ΔH_f (0 K)	-4	kJ/mol of formula units
! crystal system	trigonal
! offset from the most stable computed form	119	meV/atom
&SYSTEM
  ibrav = 0, nat = 4, ntyp = 3
/
ATOMIC_SPECIES
Tb 158.93 Tb.upf
Pm 145.00 Pm.upf
Co 58.93 Co.upf
CELL_PARAMETERS angstrom
1.899 1.096 9.061
-1.899 1.096 9.061
0.000 -2.193 9.061
ATOMIC_POSITIONS angstrom
Tb 0.000 0.000 0.000
Tb 0.000 0.000 6.032
Pm 0.000 0.000 12.127
Co 0.000 0.000 16.607

3.
! TbPmCo4 (GGA-PBE, optimized geometry); values from VASP
! ΔH_f (0 K)	-71	kJ/mol of formula units
! crystal system	cubic
&SYSTEM
  ibrav = 0, nat = 6, ntyp = 3
/
ATOMIC_SPECIES
Tb 158.93 Tb.upf
Pm 145.00 Pm.upf
Co 58.93 Co.upf
CELL_PARAMETERS angstrom
0.000 3.620 3.620
3.620 0.000 3.620
3.620 3.620 0.000
ATOMIC_POSITIONS angstrom
Tb 0.000 0.000 0.000
Pm 5.429 5.429 5.429
Co 2.712 2.712 2.712
Co 4.527 4.527 2.712
Co 4.527 2.712 4.527
Co 2.712 4.527 4.527

> Among the records above, which one has the highest ΔH_f (0 K)?

Tb2PmCo